(1)
Below is a geometry-optimized LiThAg structure, with properties calculated at the PBE level.

Crystal system: cubic
Magnetization, μB/atom: 0.170
Uncorrected energy, eV/atom: -3.778

Geometry as CIF:
```
data_LiThAg
_cell_length_a 6.861
_cell_length_b 6.861
_cell_length_c 6.861
_cell_angle_alpha 90.00
_cell_angle_beta 90.00
_cell_angle_gamma 90.00
_symmetry_space_group_name_H-M 'F -4 3 m'
_symmetry_Int_Tables_number 216
_symmetry_space_group_name_Hall 'F -4 2 3'
loop_
_atom_site_label
_atom_site_fract_x
_atom_site_fract_y
_atom_site_fract_z
Li1 0.000 0.000 0.000
Th1 0.000 0.000 0.500
Ag1 0.250 0.250 0.250
```

=====

(2)
Below is a geometry-optimized RbSmInS3 structure, with properties calculated at the PBE level.

Crystal system: orthorhombic
Magnetization, μB/atom: 0.031
Uncorrected energy, eV/atom: -4.684

Geometry as CIF:
```
data_RbSmInS3
_cell_length_a 4.147
_cell_length_b 16.033
_cell_length_c 11.393
_cell_angle_alpha 90.00
_cell_angle_beta 90.00
_cell_angle_gamma 90.00
_symmetry_space_group_name_H-M 'C m c m'
_symmetry_Int_Tables_number 63
_symmetry_space_group_name_Hall '-C 2c 2'
loop_
_atom_site_label
_atom_site_fract_x
_atom_site_fract_y
_atom_site_fract_z
Rb1 0.000 0.195 0.250
Sm1 0.000 0.500 0.000
In1 0.000 0.093 0.750
S1 0.000 0.117 0.521
S2 0.000 0.485 0.750
```